A relaxed CePm3Nd4S8 crystal. Source: the Alexandria database, functional GGA-PBE.

```
CePm3Nd4S8
1.0
4.0498 2.3382 6.6131
-4.0498 2.3382 6.6131
0.0000 -4.6763 6.6131
Ce Pm Nd S
1 3 4 8
direct
0.0000 0.0000 0.0000
0.0000 0.5000 0.5000
0.5000 0.0000 0.5000
0.5000 0.5000 0.0000
0.0000 0.0000 0.5000
0.0000 0.5000 0.0000
0.5000 0.0000 0.0000
0.5000 0.5000 0.5000
0.2480 0.2480 0.7499
0.2480 0.7499 0.2480
0.2501 0.7520 0.7520
0.2511 0.2511 0.2511
0.7489 0.7489 0.7489
0.7499 0.2480 0.2480
0.7520 0.2501 0.7520
0.7520 0.7520 0.2501
```

Calculated values
E_form (uncorrected) in meV/atom: -2034

***

A relaxed CuHPd3 crystal. Source: the Alexandria database, functional GGA-PBE.

```
CuHPd3
1.0
6.9682 -1.3824 0.0000
6.9682 1.3824 0.0000
-0.4553 0.0000 6.5225
Cu H Pd
2 2 6
direct
0.2167 0.2167 0.3269
0.7833 0.7833 0.6731
0.4238 0.4238 0.1654
0.5762 0.5762 0.8346
0.0305 0.0305 0.2046
0.1695 0.1695 0.9179
0.3986 0.3986 0.4485
0.6014 0.6014 0.5515
0.8305 0.8305 0.0821
0.9695 0.9695 0.7954
```

Calculated values
Polymorph energy (0 for the lowest one) in eV per atom: 0.068

***

For each record above, in turn, the calculated magnetic moment values are 0.0291, 0.0000 μB per atom.
For each record above, in turn, the calculated total energy values are -6.551, -4.619 eV per atom.
For each record above, in turn, the calculated D(E_F) values are 10.9, 6.7 states/eV/cell.